# Zr2CdTeSe3

A geometry-optimized Zr2CdTeSe3 structure (GGA-PBE, the Open Quantum Materials Database).

Values from the calculation:
DFT total energy, eV per cell: -36.413
V, A^3/atom: 31.481

Cell: 5.964 6.462 7.033 Å, 116.61 111.72 90.23°
Space group P1 (No. 1)
Symmetry-distinct sites (fractional):
Zr: 0.000 0.000 0.000 x1
Zr: 0.228 0.767 0.587 x1
Cd: 0.517 0.529 0.053 x1
Te: 0.394 0.941 0.338 x1
Se: 0.109 0.179 0.774 x1
Se: 0.633 0.634 0.759 x1
Se: 0.893 0.382 0.288 x1